A relaxed Tb3ThF crystal, computed with PBE.

```
Tb3ThF
1.0
5.069 0.000 0.000
0.000 5.069 0.000
0.000 0.000 5.069
Tb F Th
3 1 1
Direct
0.500 0.000 0.000
0.000 0.000 0.500
0.000 0.500 0.000
0.000 0.000 0.000
0.500 0.500 0.500
```

## Properties
The value obtained for the energy is -27.7 eV per cell. The density of states at the Fermi level is 4.32 states/eV/f.u. As for the energy relative to the elements, uncorrected: -0.901 eV/atom.